Record 1
SCAN ZrMnFe3, PBEsol geometry; raw total energy = -19.97 eV/atom; V = 69.7 Å³ per cell; theoretical density = 7.5 Mg/m³
1.0
4.1149 0.0000 0.0000
0.0000 4.1149 0.0000
0.0000 0.0000 4.1149
Mn Fe Zr
1 3 1
direct
0.0000 0.0000 0.0000
0.0000 0.5000 0.0000
0.0000 0.0000 0.5000
0.5000 0.0000 0.0000
0.5000 0.5000 0.5000



Record 2
SCAN Fe3Mo, PBEsol geometry; raw total energy = -22.25 eV/atom; V = 47.6 Å³ per cell; theoretical density = 9.2 Mg/m³
1.0
-2.7461 1.0856 0.2296
-1.4427 -3.7111 0.2919
2.4922 1.4728 3.7410
Mo Fe
1 3
direct
0.0000 0.5000 0.0000
0.7533 0.7533 0.5067
0.5000 0.0000 0.0000
0.2467 0.2467 0.4933



Record 3
SCAN Fe3Mo, PBEsol geometry; raw total energy = -21.99 eV/atom; V = 89.2 Å³ per cell; theoretical density = 9.8 Mg/m³
1.0
4.0459 0.0000 0.0000
0.0000 5.0454 0.0000
0.0000 -2.5227 4.3695
Fe Mo
6 2
direct
0.7500 0.1607 0.8393
0.7500 0.6785 0.8393
0.7500 0.1607 0.3215
0.2500 0.8393 0.1607
0.2500 0.3215 0.1607
0.2500 0.8393 0.6785
0.7500 0.6667 0.3333
0.2500 0.3333 0.6667



Record 4
SCAN Fe3Mo, PBEsol geometry; raw total energy = -22.26 eV/atom; V = 48.0 Å³ per cell; theoretical density = 9.1 Mg/m³
1.0
-0.8468 0.7631 -2.2442
-3.6941 -1.3815 0.9241
-0.8024 3.9160 2.6466
Mo Fe
1 3
direct
0.0000 0.5000 0.5000
0.7435 0.0000 0.7596
0.5000 0.5000 0.0000
0.2565 0.0000 0.2404



Record 5
SCAN Fe3Mo4, PBEsol geometry; raw total energy = -27.58 eV/atom; V = 91.3 Å³ per cell; theoretical density = 10.0 Mg/m³
1.0
-1.7592 4.2691 -0.8983
-1.7533 -2.5719 3.5268
3.1688 1.9340 2.9857
Fe Mo
3 4
direct
0.0000 0.5000 0.0000
0.5000 0.0000 0.0000
0.5000 0.5000 0.0000
0.0000 0.0000 0.7470
0.0000 0.0000 0.2530
0.3333 0.6667 0.5000
0.6667 0.3333 0.5000



Record 6
SCAN Fe3Mo, PBEsol geometry; raw total energy = -22.24 eV/atom; V = 96.3 Å³ per cell; theoretical density = 9.1 Mg/m³
1.0
-1.3252 -3.1659 3.0392
4.3709 -0.6671 1.2110
-0.3941 3.2478 3.2113
Fe Mo
6 2
direct
0.2500 0.5000 0.0000
0.7500 0.5000 0.0000
0.0000 0.2500 0.5000
0.0000 0.7500 0.5000
0.5000 0.0000 0.2500
0.5000 0.0000 0.7500
0.0000 0.0000 0.0000
0.5000 0.5000 0.5000



Record 7
SCAN FeMo3, PBEsol geometry; raw total energy = -30.63 eV/atom; V = 56.9 Å³ per cell; theoretical density = 10.0 Mg/m³
1.0
2.6503 -0.0001 0.0000
-0.8169 2.5213 0.0000
0.0000 0.0000 8.5221
Mo Fe
3 1
direct
0.5000 0.5000 0.7631
0.0000 0.0000 0.5000
0.5000 0.5000 0.2369
0.0000 0.0000 0.0000



Record 8
SCAN Fe3Mo, PBEsol geometry; raw total energy = -22.27 eV/atom; V = 47.8 Å³ per cell; theoretical density = 9.2 Mg/m³
1.0
-1.1098 0.6305 2.5654
2.2269 -1.2738 1.2763
2.8867 5.0534 0.0069
Mo Fe
1 3
direct
0.5000 0.5000 0.5000
0.0000 0.0000 0.7663
0.5000 0.5000 0.0000
0.0000 0.0000 0.2337



Record 9
SCAN Fe3Mo, PBEsol geometry; raw total energy = -22.20 eV/atom; V = 47.4 Å³ per cell; theoretical density = 9.2 Mg/m³
1.0
-1.0175 1.7725 2.0735
-3.1241 -2.4867 0.5927
2.1318 -2.0178 2.7710
Fe Mo
3 1
direct
0.0000 0.0000 0.5000
0.5000 0.5000 0.5000
0.0000 0.5000 0.0000
0.5000 0.0000 0.0000



Record 10
SCAN FeMo3, PBEsol geometry; raw total energy = -30.38 eV/atom; V = 57.9 Å³ per cell; theoretical density = 9.9 Mg/m³
1.0
2.5338 0.0000 0.0000
0.0000 4.2163 0.0000
0.0000 0.0000 5.4201
Fe Mo
1 3
direct
0.0000 0.0000 0.0000
0.5000 0.5000 0.7607
0.0000 0.0000 0.5000
0.5000 0.5000 0.2393



Record 11
SCAN Fe3Mo, PBEsol geometry; raw total energy = -22.06 eV/atom; V = 44.9 Å³ per cell; theoretical density = 9.7 Mg/m³
1.0
3.5543 0.0000 0.0000
0.0000 3.5543 0.0000
0.0000 0.0000 3.5543
Mo Fe
1 3
direct
0.5000 0.5000 0.5000
0.0000 0.0000 0.5000
0.0000 0.5000 0.0000
0.5000 0.0000 0.0000



Record 12
SCAN FeMoN2, PBEsol geometry; raw total energy = -17.61 eV/atom; formation energy from raw total energies = 0.284 eV per atom; V = 41.4 Å³ per cell; theoretical density = 7.2 Mg/m³
1.0
-0.1505 -2.6908 -0.8241
-0.0439 -2.0617 1.9209
-6.0781 -1.2993 0.5340
Mo Fe N
1 1 2
direct
0.0000 0.0000 0.0000
0.5000 0.5000 0.5000
0.8922 0.8922 0.3233
0.1078 0.1078 0.6767



Record 13
SCAN FeMoN2, PBEsol geometry; raw total energy = -17.58 eV/atom; formation energy from raw total energies = 0.318 eV per atom; V = 34.1 Å³ per cell; theoretical density = 8.7 Mg/m³
1.0
3.6414 0.0000 0.0000
1.8207 3.1536 0.0000
1.8207 1.0512 2.9732
Mo Fe N
1 1 2
direct
0.5000 0.5000 0.5000
0.0000 0.0000 0.0000
0.2500 0.2500 0.2500
0.7500 0.7500 0.7500



Record 14
SCAN FeNiMo3N, PBEsol geometry; raw total energy = -24.93 eV/atom; formation energy from raw total energies = -0.217 eV per atom; V = 286.9 Å³ per cell; theoretical density = 9.6 Mg/m³
1.0
-6.4103 -0.3216 1.5192
0.6248 -6.4415 1.2728
1.4216 1.3809 6.2909
Fe Ni Mo N
4 4 12 4
direct
0.1776 0.8224 0.3224
0.3224 0.1776 0.8224
0.8224 0.3224 0.1776
0.6776 0.6776 0.6776
0.5656 0.4344 0.9344
0.4344 0.9344 0.5656
0.9344 0.5656 0.4344
0.0656 0.0656 0.0656
0.7998 0.9544 0.3713
0.7002 0.0456 0.8713
0.2002 0.4544 0.1287
0.2998 0.5456 0.6287
0.9544 0.3713 0.7998
0.0456 0.8713 0.7002
0.4544 0.1287 0.2002
0.5456 0.6287 0.2998
0.3713 0.7998 0.9544
0.8713 0.7002 0.0456
0.1287 0.2002 0.4544
0.6287 0.2998 0.5456
0.8761 0.1239 0.6239
0.6239 0.8761 0.1239
0.1239 0.6239 0.8761
0.3761 0.3761 0.3761



Record 15
SCAN Sr2FeMoNO5, PBEsol geometry; raw total energy = -16.04 eV/atom; formation energy from raw total energies = -2.238 eV per atom; V = 113.1 Å³ per cell; theoretical density = 6.2 Mg/m³
1.0
5.4412 -0.0053 0.0041
0.0055 5.4412 0.0041
2.7203 2.7148 3.8245
Sr Fe Mo N O
2 1 1 1 5
direct
0.7460 0.2461 0.5078
0.2461 0.7460 0.5078
0.5063 0.5063 0.9874
0.9845 0.9845 0.0310
0.7472 0.7472 0.5051
0.7509 0.2565 0.9925
0.2565 0.7509 0.9925
0.2550 0.2550 0.4907
0.7513 0.7513 0.9919
0.2562 0.2562 0.9932



Record 16
SCAN Fe3Mo6PtN2, PBEsol geometry; raw total energy = -29.63 eV/atom; formation energy from raw total energies = -0.262 eV per atom; V = 295.1 Å³ per cell; theoretical density = 10.9 Mg/m³
1.0
6.6517 0.0000 0.0275
0.0000 6.6561 0.0000
0.0101 0.0000 6.6655
Fe Mo Pt N
6 12 2 4
direct
0.3193 0.8179 0.5662
0.6807 0.3179 0.4338
0.4355 0.0677 0.3284
0.9214 0.4283 0.1959
0.5645 0.5677 0.6716
0.0786 0.9283 0.8041
0.9511 0.6220 0.5411
0.0489 0.1220 0.4589
0.4490 0.8772 0.9531
0.5510 0.3772 0.0469
0.3832 0.2070 0.6974
0.8736 0.2951 0.7979
0.1264 0.7951 0.2021
0.6168 0.7070 0.3026
0.7906 0.0525 0.1324
0.7045 0.9506 0.6253
0.2094 0.5525 0.8676
0.2955 0.4506 0.3747
0.8157 0.6846 0.9351
0.1843 0.1846 0.0649
0.1267 0.3727 0.6264
0.8733 0.8727 0.3736
0.6262 0.1244 0.8784
0.3738 0.6244 0.1216



Record 17
SCAN Na9FeMo6O24, PBEsol geometry; raw total energy = -12.53 eV/atom; formation energy from raw total energies = -2.158 eV per atom; V = 1175.4 Å³ per cell; theoretical density = 3.5 Mg/m³
1.0
10.5628 0.0254 0.0245
0.4276 10.5541 0.0245
0.4276 0.4116 10.5461
Na Fe Mo O
18 2 12 48
direct
0.5329 0.7327 0.9824
0.9824 0.5329 0.7327
0.7327 0.9824 0.5329
0.4671 0.2673 0.0176
0.0176 0.4671 0.2673
0.2673 0.0176 0.4671
0.7359 0.9298 0.1828
0.1828 0.7359 0.9298
0.9298 0.1828 0.7359
0.2641 0.0702 0.8172
0.8172 0.2641 0.0702
0.0702 0.8172 0.2641
0.3242 0.5239 0.7972
0.7972 0.3242 0.5239
0.5239 0.7972 0.3242
0.6758 0.4761 0.2028
0.2028 0.6758 0.4761
0.4761 0.2028 0.6758
0.7442 0.7442 0.7442
0.2558 0.2558 0.2558
0.6457 0.4494 0.8249
0.8249 0.6457 0.4494
0.4494 0.8249 0.6457
0.3543 0.5506 0.1751
0.1751 0.3543 0.5506
0.5506 0.1751 0.3543
0.3444 0.9696 0.1247
0.1247 0.3444 0.9696
0.9696 0.1247 0.3444
0.6556 0.0304 0.8753
0.8753 0.6556 0.0304
0.0304 0.8753 0.6556
0.7775 0.3831 0.7434
0.7434 0.7775 0.3831
0.3831 0.7434 0.7775
0.2225 0.6169 0.2566
0.2566 0.2225 0.6169
0.6169 0.2566 0.2225
0.5056 0.3914 0.7697
0.7697 0.5056 0.3914
0.3914 0.7697 0.5056
0.4944 0.6086 0.2303
0.2303 0.4944 0.6086
0.6086 0.2303 0.4944
0.6482 0.4025 0.9874
0.9874 0.6482 0.4025
0.4025 0.9874 0.6482
0.3518 0.5975 0.0126
0.0126 0.3518 0.5975
0.5975 0.0126 0.3518
0.6334 0.6206 0.8101
0.8101 0.6334 0.6206
0.6206 0.8101 0.6334
0.3666 0.3794 0.1899
0.1899 0.3666 0.3794
0.3794 0.1899 0.3666
0.2792 0.8978 0.2628
0.2628 0.2792 0.8978
0.8978 0.2628 0.2792
0.7208 0.1022 0.7372
0.7372 0.7208 0.1022
0.1022 0.7372 0.7208
0.2627 0.9232 0.9946
0.9946 0.2627 0.9232
0.9232 0.9946 0.2627
0.7373 0.0768 0.0054
0.0054 0.7373 0.0768
0.0768 0.0054 0.7373
0.5038 0.9102 0.1131
0.1131 0.5038 0.9102
0.9102 0.1131 0.5038
0.4962 0.0898 0.8869
0.8869 0.4962 0.0898
0.0898 0.8869 0.4962
0.3272 0.1404 0.1371
0.1371 0.3272 0.1404
0.1404 0.1371 0.3272
0.6728 0.8596 0.8629
0.8629 0.6728 0.8596
0.8596 0.8629 0.6728



Record 18
SCAN NaFeMo2O8, PBEsol geometry; raw total energy = -13.84 eV/atom; formation energy from raw total energies = -2.012 eV per atom; V = 330.6 Å³ per cell; theoretical density = 4.0 Mg/m³
1.0
-1.6510 -4.8197 -0.6664
2.4090 1.2580 4.7356
-11.9566 3.4204 4.8717
Na Fe Mo O
2 2 4 16
direct
0.9212 0.0000 0.7500
0.0788 0.0000 0.2500
0.0000 0.0000 0.0000
0.0000 0.0000 0.5000
0.3605 0.6491 0.3859
0.7114 0.3508 0.1141
0.6395 0.3509 0.6141
0.2886 0.6492 0.8859
0.7946 0.1916 0.5357
0.6030 0.8084 0.9643
0.2054 0.8084 0.4643
0.3970 0.1916 0.0357
0.7450 0.6983 0.5759
0.0466 0.3019 0.9242
0.2550 0.3017 0.4241
0.9534 0.6981 0.0758
0.2420 0.1428 0.6143
0.0992 0.8573 0.8856
0.7580 0.8572 0.3857
0.9008 0.1427 0.1144
0.7683 0.3515 0.7330
0.4167 0.6483 0.7671
0.2317 0.6485 0.2670
0.5833 0.3517 0.2329



Record 19
SCAN NaSrFeMo2, PBEsol geometry; raw total energy = -21.70 eV/atom; V = 111.3 Å³ per cell; theoretical density = 5.3 Mg/m³
1.0
4.4524 0.0000 0.0000
0.0000 4.4524 0.0000
0.0000 0.0000 5.6121
Sr Mo Fe Na
1 2 1 1
direct
0.0000 0.0000 0.5000
0.0000 0.5000 0.0000
0.5000 0.0000 0.0000
0.0000 0.0000 0.0000
0.5000 0.5000 0.5000



Record 20
SCAN FeNi2Mo, PBEsol geometry; raw total energy = -21.28 eV/atom; V = 45.7 Å³ per cell; offset from the most stable computed form = 105 meV per atom; theoretical density = 9.8 Mg/m³
1.0
3.6017 0.0000 0.0000
0.0000 3.6017 0.0000
-1.8009 -1.8009 3.5245
Ni Mo Fe
2 1 1
direct
0.0000 0.0000 0.0000
0.7500 0.2500 0.5000
0.2500 0.7500 0.5000
0.5000 0.5000 0.0000